# 1
This record from the Alexandria database describes TaBe2Cr after structural relaxation. The functional is GGA-PBEsol.

Volume: 45.3 Å³/cell
D(E_F): 1.72 states/eV/f.u.
Total magnetization: 0.0000 μB per atom
Electronic total energy: -0.2801 Ha/atom
Energy of formation from the pure elements: 75.7 meV per atom

Cell lengths 2.5989, 3.3344, 5.2360 Å; angles 90.00, 92.96, 90.00 degrees
Sites, in units of the cell vectors:
Cr 0.5000 0.5000 0.0000
Be 0.0043 0.0000 0.7903
Be 0.9957 0.0000 0.2097
Ta 0.5000 0.5000 0.5000


# 2
This record from the Alexandria database describes MgSiO3 after structural relaxation. The functional is GGA-PBEsol.

Volume: 418.4 Å³/cell
D(E_F): 0.00 states/eV/f.u.
Total magnetization: 0.0000 μB per atom
Electronic total energy: -0.2751 Ha/atom

Cell lengths 5.1784, 8.8276, 9.4118 Å; angles 90.00, 103.49, 90.00 degrees
Sites, in units of the cell vectors:
O 0.8016 0.5020 0.1231
O 0.1984 0.4980 0.8769
O 0.7558 0.0171 0.3655
O 0.0121 0.7819 0.8938
O 0.7534 0.6608 0.3759
O 0.2442 0.9829 0.6345
O 0.5121 0.7181 0.8938
O 0.4879 0.2819 0.1062
O 0.8216 0.8400 0.1348
O 0.2558 0.4829 0.3655
O 0.2534 0.8392 0.3759
O 0.3016 0.9980 0.1231
O 0.1577 0.6919 0.6068
O 0.7442 0.5171 0.6345
O 0.3216 0.6600 0.1348
O 0.6984 0.0020 0.8769
O 0.6784 0.3400 0.8652
O 0.1784 0.1600 0.8652
O 0.9879 0.2181 0.1062
O 0.6577 0.8081 0.6068
O 0.3423 0.1919 0.3932
O 0.7466 0.1608 0.6241
O 0.2466 0.3392 0.6241
O 0.8423 0.3081 0.3932
Mg 0.4645 0.1543 0.7486
Mg 0.0440 0.0142 0.2568
Mg 0.9560 0.9858 0.7432
Mg 0.5440 0.4858 0.2568
Mg 0.5355 0.8457 0.2514
Mg 0.0355 0.6543 0.2514
Mg 0.4560 0.5142 0.7432
Mg 0.9645 0.3457 0.7486
Si 0.2464 0.1583 0.0425
Si 0.8266 0.6626 0.5539
Si 0.1734 0.3374 0.4461
Si 0.7536 0.8417 0.9575
Si 0.3266 0.8374 0.5539
Si 0.6734 0.1626 0.4461
Si 0.2536 0.6583 0.9575
Si 0.7464 0.3417 0.0425


# 3
This record from the Alexandria database describes Er3Al2 after structural relaxation. The functional is GGA-PBEsol.

Volume: 482.1 Å³/cell
D(E_F): 5.21 states/eV/f.u.
Total magnetization: 0.0000 μB per atom
Electronic total energy: -0.1805 Ha/atom
Energy of formation from the pure elements: -319.0 meV per atom

Cell lengths 7.4313, 8.0541, 8.0541 Å; angles 90.00, 90.00, 90.00 degrees
Sites, in units of the cell vectors:
Er 0.5000 0.8513 0.1487
Er 0.7500 0.0000 0.5000
Er 0.0000 0.2020 0.7980
Er 0.2500 0.5000 0.0000
Er 0.5000 0.2980 0.2980
Er 0.5000 0.7020 0.7020
Er 0.0000 0.3513 0.3513
Er 0.0000 0.7980 0.2020
Er 0.2500 0.0000 0.5000
Er 0.5000 0.1487 0.8513
Er 0.7500 0.5000 0.0000
Er 0.0000 0.6487 0.6487
Al 0.3051 0.6202 0.3798
Al 0.8051 0.1202 0.1202
Al 0.1949 0.1202 0.1202
Al 0.1949 0.8798 0.8798
Al 0.8051 0.8798 0.8798
Al 0.6949 0.6202 0.3798
Al 0.6949 0.3798 0.6202
Al 0.3051 0.3798 0.6202


# 4
This record from the Alexandria database describes CsInSb3 after structural relaxation. The functional is GGA-PBEsol.

Volume: 184.1 Å³/cell
D(E_F): 4.04 states/eV/f.u.
Total magnetization: 0.0001 μB per atom
Electronic total energy: -0.1190 Ha/atom

Cell lengths 5.6887, 5.6887, 5.6887 Å; angles 90.00, 90.00, 90.00 degrees
Sites, in units of the cell vectors:
Sb 0.0000 0.0000 0.5000
Sb 0.5000 0.0000 0.0000
Sb 0.0000 0.5000 0.0000
Cs 0.5000 0.5000 0.5000
In 0.0000 0.0000 0.0000


# 5
This record from the Alexandria database describes MoOsRh2 after structural relaxation. The functional is GGA-PBEsol.

Volume: 55.6 Å³/cell
D(E_F): 2.62 states/eV/f.u.
Total magnetization: 0.0000 μB per atom
Electronic total energy: -0.3759 Ha/atom
Energy above the most stable polymorph in this dataset: 0 meV/atom
Energy of formation from the pure elements: -164.9 meV per atom

Cell lengths 2.6990, 4.3297, 4.7537 Å; angles 90.00, 90.00, 90.00 degrees
Sites, in units of the cell vectors:
Rh 0.0000 0.5000 0.7138
Rh 0.0000 0.0000 0.0427
Mo 0.5000 0.0000 0.5357
Os 0.5000 0.5000 0.2078


# 6
This record from the Alexandria database describes ZrHg5 after structural relaxation. The functional is GGA-PBEsol.

Volume: 129.2 Å³/cell
D(E_F): 3.27 states/eV/f.u.
Total magnetization: 0.0000 μB per atom
Electronic total energy: -0.0757 Ha/atom
Energy of formation from the pure elements: -72.7 meV per atom

Cell lengths 3.2221, 6.7435, 6.3064 Å; angles 103.45, 90.00, 103.82 degrees
Sites, in units of the cell vectors:
Hg 0.3629 0.7259 0.2138
Hg 0.3552 0.7104 0.7220
Hg 0.6945 0.3889 0.3889
Hg 0.0337 0.0674 0.0559
Hg 0.0259 0.0519 0.5639
Zr 0.6944 0.3889 0.8889


# 7
This record from the Alexandria database describes LiFeSi2O6 after structural relaxation. The functional is GGA-PBEsol.

Volume: 1014.5 Å³/cell
Total magnetization: 0.5000 μB per atom
Electronic total energy: -0.2802 Ha/atom
Energy above the most stable polymorph in this dataset: 65 meV/atom

Cell lengths 11.0271, 11.0271, 11.0271 Å; angles 100.71, 114.02, 114.02 degrees
Sites, in units of the cell vectors:
Fe 0.0214 0.6106 0.8921
Fe 0.5214 0.8793 0.6609
Fe 0.2816 0.4109 0.3894
Fe 0.7816 0.6421 0.1207
Fe 0.7184 0.1079 0.1293
Fe 0.4786 0.1394 0.3579
Fe 0.2184 0.3391 0.8606
Fe 0.9786 0.8707 0.5891
Si 0.1587 0.5375 0.7107
Si 0.1732 0.6212 0.4625
Si 0.7186 0.8192 0.3025
Si 0.2186 0.1661 0.1493
Si 0.9832 0.0525 0.8339
Si 0.6587 0.1980 0.8712
Si 0.4832 0.8993 0.1808
Si 0.7814 0.9308 0.9475
Si 0.3268 0.1288 0.7875
Si 0.8268 0.2893 0.4480
Si 0.3413 0.2125 0.5393
Si 0.2814 0.5839 0.1007
Si 0.5168 0.6975 0.4161
Si 0.0168 0.8507 0.0692
Si 0.8413 0.5520 0.3788
Si 0.6732 0.4607 0.8020
O 0.3470 0.6494 0.2755
O 0.3545 0.2712 0.8995
O 0.2255 0.6100 0.6191
O 0.3718 0.1005 0.4550
O 0.8718 0.6668 0.5212
O 0.7745 0.3936 0.3844
O 0.5927 0.8375 0.8242
O 0.1011 0.8101 0.9907
O 0.6011 0.8604 0.5410
O 0.3107 0.7834 0.5013
O 0.1806 0.2910 0.1899
O 0.1261 0.0255 0.1785
O 0.1530 0.1006 0.9745
O 0.6530 0.9285 0.3024
O 0.8989 0.8896 0.7090
O 0.6806 0.7407 0.1396
O 0.9073 0.9125 0.4258
O 0.6455 0.5450 0.9168
O 0.4908 0.1344 0.8600
O 0.7255 0.3564 0.8656
O 0.3194 0.4590 0.0601
O 0.2745 0.1400 0.6309
O 0.7179 0.5273 0.2166
O 0.4073 0.2315 0.2448
O 0.1282 0.6495 0.7950
O 0.8739 0.0524 0.8994
O 0.8545 0.2050 0.3332
O 0.9867 0.7552 0.1625
O 0.1455 0.4788 0.3505
O 0.6282 0.0832 0.7288
O 0.9908 0.3809 0.6064
O 0.6261 0.6976 0.3506
O 0.3739 0.7245 0.0715
O 0.1893 0.9666 0.7487
O 0.8194 0.0093 0.1104
O 0.4867 0.5742 0.4815
O 0.2821 0.4987 0.8094
O 0.6893 0.1906 0.4727
O 0.5092 0.3691 0.6436
O 0.0927 0.5185 0.0052
O 0.7821 0.2227 0.0334
O 0.2179 0.2513 0.4406
O 0.5133 0.9948 0.0875
O 0.8107 0.5594 0.7773
O 0.3989 0.9399 0.2593
O 0.0133 0.1758 0.7685
O 0.8470 0.8215 0.9476
O 0.0092 0.6156 0.3900
Li 0.7178 0.0817 0.5973
Li 0.4844 0.4027 0.1204
Li 0.5156 0.6361 0.9183
Li 0.2822 0.8796 0.3639
Li 0.7822 0.6683 0.6527
Li 0.0156 0.3473 0.1296
Li 0.9844 0.1139 0.3317
Li 0.2178 0.8704 0.8861


# 8
This record from the Alexandria database describes CaAu3 after structural relaxation. The functional is GGA-PBEsol.

Volume: 155.5 Å³/cell
D(E_F): 1.35 states/eV/f.u.
Total magnetization: 0.0000 μB per atom
Electronic total energy: -0.1461 Ha/atom
Energy of formation from the pure elements: -499.1 meV per atom

Cell lengths 5.3770, 5.3770, 5.3770 Å; angles 90.00, 90.00, 90.00 degrees
Sites, in units of the cell vectors:
Au 0.0000 0.2500 0.5000
Au 0.5000 0.0000 0.7500
Au 0.5000 0.0000 0.2500
Au 0.7500 0.5000 0.0000
Au 0.0000 0.7500 0.5000
Au 0.2500 0.5000 0.0000
Ca 0.5000 0.5000 0.5000
Ca 0.0000 0.0000 0.0000